1 | This record from Alexandria via LeMat-Bulk describes a geometry-optimized BC2 structure. The functional is PBE.

space-group type = No. 25
M_tot = 0.0000 μB per atom
DOS at the Fermi energy = 1.179 states/eV per cell

The structure in POSCAR format:
```
BC2
1.0
2.550 0.000 0.000
0.000 3.970 0.000
0.000 0.000 7.581
C B
8 4
direct
0.000 0.996 0.328
0.500 0.767 0.332
0.000 0.996 0.672
0.000 0.221 0.167
0.000 0.019 0.000
0.500 0.767 0.668
0.500 0.541 0.500
0.000 0.221 0.833
0.500 0.472 0.838
0.500 0.788 0.000
0.000 0.239 0.500
0.500 0.472 0.162
```


2 | This record from Alexandria via LeMat-Bulk describes a geometry-optimized BC2 structure. The functional is PBE.

space-group type = No. 6
M_tot = 0.0000 μB per atom
DOS at the Fermi energy = 2.324 states/eV per cell

The structure in POSCAR format:
```
BC2
1.0
2.555 0.000 0.000
0.000 3.734 0.065
0.000 0.139 8.091
B C
4 8
direct
0.500 0.724 0.967
0.000 0.030 0.002
0.500 0.466 0.206
0.000 0.029 0.342
0.000 0.244 0.817
0.000 0.998 0.663
0.000 0.262 0.509
0.000 0.266 0.159
0.500 0.508 0.508
0.500 0.479 0.816
0.500 0.737 0.348
0.500 0.756 0.663
```


The least stable of them is 1.


1 | This record from Alexandria via LeMat-Bulk describes a geometry-optimized BaCaTe2 structure. The functional is PBE.

space-group type = No. 166
M_tot = 0.0000 μB per atom
DOS at the Fermi energy = 0.000 states/eV per cell

The structure in POSCAR format:
```
BaCaTe2
1.0
2.751 0.000 7.799
-1.375 2.382 7.799
-1.375 -2.382 7.799
Ca Te Ba
1 2 1
direct
0.500 0.500 0.500
0.241 0.241 0.241
0.759 0.759 0.759
0.000 0.000 0.000
```


2 | This record from Alexandria via LeMat-Bulk describes a geometry-optimized BaCaTe2 structure. The functional is PBE.

space-group type = No. 63
M_tot = 0.0000 μB per atom
DOS at the Fermi energy = 0.000 states/eV per cell

The structure in POSCAR format:
```
BaCaTe2
1.0
14.476 5.390 -0.295
-15.390 0.211 -1.336
-0.366 1.225 4.412
Ba Te Ca
2 4 2
direct
0.124 0.876 0.250
0.876 0.124 0.750
0.612 0.388 0.750
0.785 0.215 0.250
0.215 0.785 0.750
0.388 0.612 0.250
0.287 0.713 0.250
0.713 0.287 0.750
```


The least stable of them is 2.


1 | This record from Alexandria via LeMat-Bulk describes a geometry-optimized Ca3Al2Ge3 structure. The functional is PBE.

space-group type = No. 63
M_tot = 0.0000 μB per atom
DOS at the Fermi energy = 4.927 states/eV per cell

The structure in POSCAR format:
```
Ca3Al2Ge3
1.0
4.337 0.000 0.000
-2.169 5.807 0.000
0.000 0.000 14.559
Al Ca Ge
4 6 6
direct
0.764 0.528 0.593
0.236 0.472 0.093
0.764 0.528 0.907
0.236 0.472 0.407
0.066 0.132 0.888
0.934 0.868 0.388
0.066 0.132 0.612
0.342 0.685 0.750
0.658 0.315 0.250
0.934 0.868 0.112
0.625 0.249 0.452
0.625 0.249 0.048
0.352 0.705 0.250
0.375 0.751 0.548
0.648 0.295 0.750
0.375 0.751 0.952
```


2 | This record from Alexandria via LeMat-Bulk describes a geometry-optimized Ca3Al2Ge3 structure. The functional is PBE.

space-group type = No. 62
M_tot = 0.0000 μB per atom

The structure in POSCAR format:
```
Ca3Al2Ge3
1.0
7.248 0.000 0.000
0.000 7.368 0.000
0.000 0.000 14.433
Ca Ge Al
12 12 8
direct
0.307 0.987 0.106
0.623 0.327 0.250
0.377 0.673 0.750
0.807 0.513 0.606
0.307 0.987 0.394
0.693 0.013 0.894
0.877 0.827 0.250
0.193 0.487 0.106
0.807 0.513 0.894
0.123 0.173 0.750
0.693 0.013 0.606
0.193 0.487 0.394
0.578 0.292 0.053
0.078 0.208 0.553
0.462 0.720 0.250
0.962 0.780 0.750
0.922 0.792 0.447
0.422 0.708 0.947
0.922 0.792 0.053
0.578 0.292 0.447
0.078 0.208 0.947
0.538 0.280 0.750
0.422 0.708 0.553
0.038 0.220 0.250
0.884 0.137 0.409
0.616 0.637 0.409
0.116 0.863 0.909
0.384 0.363 0.909
0.116 0.863 0.591
0.884 0.137 0.091
0.616 0.637 0.091
0.384 0.363 0.591
```


The least stable of them is 1.


1 | This record from Alexandria via LeMat-Bulk describes a geometry-optimized ZnAsRu2 structure. The functional is PBE.

space-group type = No. 122
M_tot = 0.0000 μB per atom
DOS at the Fermi energy = 9.607 states/eV per cell

The structure in POSCAR format:
```
ZnAsRu2
1.0
6.894 0.000 0.000
0.000 6.894 0.000
3.447 3.447 2.722
Zn Ru As
2 4 2
direct
0.250 0.750 0.500
0.500 0.500 0.000
0.875 0.921 0.750
0.671 0.125 0.250
0.079 0.625 0.250
0.375 0.329 0.750
0.000 0.000 0.000
0.750 0.250 0.500
```


2 | This record from Alexandria via LeMat-Bulk describes a geometry-optimized ZnAsRu2 structure. The functional is PBE.

space-group type = No. 160
M_tot = 0.0000 μB per atom
DOS at the Fermi energy = 3.717 states/eV per cell

The structure in POSCAR format:
```
ZnAsRu2
1.0
-0.570 2.408 3.332
-3.638 1.911 0.582
-2.804 -1.897 3.472
Zn As Ru
1 1 2
direct
0.488 0.488 0.537
0.681 0.681 0.957
0.271 0.271 0.185
0.060 0.060 0.821
```


The least stable of them is 1.


1 | This record from Alexandria via LeMat-Bulk describes a geometry-optimized VSi2W structure. The functional is PBE.

space-group type = No. 225
M_tot = 0.0007 μB per atom
DOS at the Fermi energy = 3.172 states/eV per cell

The structure in POSCAR format:
```
VSi2W
1.0
2.128 -2.992 -2.187
-1.229 -4.087 0.220
-1.817 -1.870 -3.386
V W Si
1 1 2
direct
0.000 0.000 0.000
0.500 0.500 0.500
0.750 0.750 0.750
0.250 0.250 0.250
```


2 | This record from Alexandria via LeMat-Bulk describes a geometry-optimized VSi2W structure. The functional is PBE.

space-group type = No. 122
M_tot = 0.0922 μB per atom
DOS at the Fermi energy = 6.662 states/eV per cell

The structure in POSCAR format:
```
VSi2W
1.0
-3.997 -5.322 -0.188
0.384 -0.522 6.627
-3.971 -1.305 3.472
V W Si
2 2 4
direct
0.500 0.500 0.000
0.250 0.750 0.500
0.000 0.000 0.000
0.750 0.250 0.500
0.375 0.382 0.750
0.875 0.868 0.750
0.132 0.625 0.250
0.618 0.125 0.250
```


The least stable of them is 2.


1 | This record from Alexandria via LeMat-Bulk describes a geometry-optimized Fe2CoAg structure. The functional is PBE.

space-group type = No. 123
M_tot = 1.7652 μB per atom
DOS at the Fermi energy = 3.288 states/eV per cell

The structure in POSCAR format:
```
Fe2CoAg
1.0
3.745 0.000 0.000
0.000 3.745 0.000
0.000 0.000 3.741
Fe Co Ag
2 1 1
direct
0.500 0.500 0.000
0.000 0.000 0.000
0.000 0.500 0.500
0.500 0.000 0.500
```


2 | This record from Alexandria via LeMat-Bulk describes a geometry-optimized Fe2CoAg structure. The functional is PBE.

space-group type = No. 225
M_tot = 0.0001 μB per atom
DOS at the Fermi energy = 10.882 states/eV per cell

The structure in POSCAR format:
```
Fe2CoAg
1.0
3.123 -0.128 2.679
2.765 3.048 0.084
0.090 2.610 3.182
Fe Ag Co
2 1 1
direct
0.750 0.750 0.750
0.250 0.250 0.250
0.500 0.500 0.500
0.000 0.000 0.000
```


The least stable of them is 2.